Entry 1:
DFT (GGA-PBE) results for crystalline LaTa3Au at its relaxed geometry.

Structure (POSCAR):
```
LaTa3Au
1.0
5.066 0.000 0.000
0.000 5.066 0.000
0.000 0.000 5.066
La Ta Au
1 3 1
direct
0.000 0.000 0.000
0.000 0.500 0.500
0.500 0.000 0.500
0.500 0.500 0.000
0.500 0.500 0.500
```

## Properties
For the energy of formation from the pure elements, the calculation gives 130 kJ/mol of atoms. The density of states at the Fermi level comes out at 8.15 states/eV/f.u. The value obtained for the final energy is -37.00 eV/cell. The calculation puts the total magnetization at 1.48 Bohr magnetons per cell.

***

Entry 2:
DFT (GGA-PBE) results for crystalline GdErGe at its relaxed geometry.

Structure (POSCAR):
```
GdErGe
1.0
0.000 3.452 3.452
3.452 0.000 3.452
3.452 3.452 0.000
Gd Er Ge
1 1 1
direct
0.000 0.000 0.000
0.500 0.500 0.500
0.250 0.250 0.250
```

## Properties
For the energy of formation from the pure elements, the calculation gives -52 kJ/mol of atoms. The density of states at the Fermi level comes out at 3.68 states/eV/f.u. The value obtained for the final energy is -24.87 eV/cell. The calculation puts the total magnetization at 7.77 Bohr magnetons per cell.